Computed, not measured: Ti3HI after structural relaxation at the PBE-GGA level of DFT.

DOS(E_F) = 1.723 states/eV per atom
uncorrected energy = -20.05 eV/cell
energy above the most stable polymorph in this dataset = 1.656 eV per atom

```
Ti3HI
1.0
5.0408 0.0000 0.0000
0.0000 5.0408 0.0000
0.0000 0.0000 5.0408
Ti H I
3 1 1
Direct
0.0000 0.0000 0.5000
0.0000 0.5000 0.0000
0.5000 0.0000 0.0000
0.5000 0.5000 0.5000
0.0000 0.0000 0.0000
```